Compound: BeZnS2
Source: the Alexandria database
Functional: GGA-PBE
Structure: relaxed

Calculated values
energy above the lowest structure with this stoichiometry = 113 meV per atom
ΔE_f (raw) = -0.8092 eV/atom
total moment = 0.0000 μB/atom
calculated total energy = -4.123 eV/atom

Lattice parameters (Å, degrees): 9.065 3.666 9.596 90.00 90.00 90.00
Fractional coordinates of all 16 atoms:
Be  0.611  0.250  0.453
Be  0.889  0.750  0.953
Be  0.389  0.750  0.547
Be  0.111  0.250  0.047
Zn  0.048  0.250  0.635
Zn  0.452  0.750  0.135
Zn  0.952  0.750  0.365
Zn  0.548  0.250  0.865
S  0.839  0.250  0.467
S  0.661  0.750  0.967
S  0.161  0.750  0.533
S  0.339  0.250  0.033
S  0.474  0.250  0.636
S  0.026  0.750  0.136
S  0.526  0.750  0.364
S  0.974  0.250  0.864